Record 1
# Be2AlB | Alexandria via LeMat-Bulk | PBE-GGA | optimized geometry
# Fermi-level density of states   0.1700 states/eV per atom
# Energy of formation from the pure elements   0.0474 eV per atom
# Energy above the lowest structure with this stoichiometry   0.026 eV/atom
data_Be2AlB
_cell_length_a 5.720
_cell_length_b 3.312
_cell_length_c 8.659
_cell_angle_alpha 90.00
_cell_angle_beta 102.81
_cell_angle_gamma 90.00
_space_group_name_H-M_alt 'C 1 m 1'
_space_group_IT_number 8
_space_group_name_Hall 'C -2y'
loop_
_atom_site_label
_atom_site_fract_x
_atom_site_fract_y
_atom_site_fract_z
_atom_site_occupancy
Be1 0.000 0.000 0.000 1
Be2 0.076 0.500 0.728 1
Be3 0.207 0.500 0.119 1
Be4 0.283 0.000 0.849 1
Al1 0.184 0.000 0.555 1
Al2 0.443 0.000 0.326 1
B1 0.359 0.000 0.076 1
B2 0.415 0.500 0.743 1

---

Record 2
# ZnSi2BiBr | Alexandria via LeMat-Bulk | PBE-GGA | optimized geometry
# Fermi-level density of states   0.5487 states/eV per atom
# Formation energy from raw total energies   4.9 eV per formula unit
data_ZnSi2BiBr
_cell_length_a 5.118
_cell_length_b 5.118
_cell_length_c 5.002
_cell_angle_alpha 90.00
_cell_angle_beta 90.00
_cell_angle_gamma 90.00
_space_group_name_H-M_alt 'P 4/m m m'
_space_group_IT_number 123
_space_group_name_Hall '-P 4 2'
loop_
_atom_site_label
_atom_site_fract_x
_atom_site_fract_y
_atom_site_fract_z
_atom_site_occupancy
Zn1 0.000 0.000 0.000 1
Si1 0.000 0.500 0.500 1
Bi1 0.500 0.500 0.000 1
Br1 0.000 0.000 0.500 1

---

Record 3
# LiSiGeHF | Alexandria via LeMat-Bulk | PBE-GGA | optimized geometry
# Fermi-level density of states   0.0666 states/eV per atom
# Energy above the lowest structure with this stoichiometry   0.127 eV/atom
data_LiSiGeHF
_cell_length_a 3.155
_cell_length_b 3.909
_cell_length_c 6.176
_cell_angle_alpha 81.56
_cell_angle_beta 88.21
_cell_angle_gamma 70.65
_space_group_name_H-M_alt 'P 1'
_space_group_IT_number 1
_space_group_name_Hall 'P 1'
loop_
_atom_site_label
_atom_site_fract_x
_atom_site_fract_y
_atom_site_fract_z
_atom_site_occupancy
Li1 0.000 0.000 0.000 1
Si1 0.694 0.977 0.558 1
Ge1 0.665 0.533 0.317 1
H1 0.105 0.750 0.694 1
F1 0.453 0.126 0.817 1

---

Record 4
# LiMgAlCl6 | Alexandria via LeMat-Bulk | PBE-GGA | optimized geometry
# Fermi-level density of states   0.0000 states/eV per atom
# Formation energy from raw total energies   -15.0 eV per formula unit
data_LiMgAlCl6
_cell_length_a 6.2212
_cell_length_b 6.2212
_cell_length_c 11.6751
_cell_angle_alpha 90.00
_cell_angle_beta 90.00
_cell_angle_gamma 120.00
_space_group_name_H-M_alt 'P -3 1 c'
_space_group_IT_number 163
_space_group_name_Hall '-P 3 2c'
loop_
_atom_site_label
_atom_site_fract_x
_atom_site_fract_y
_atom_site_fract_z
_atom_site_occupancy
Li1 0.0000 0.0000 0.0000 1
Mg1 0.3333 0.6667 0.2500 1
Al1 0.3333 0.6667 0.7500 1
Cl1 0.0195 0.3635 0.6340 1

---

Record 5
# PmH3 | Alexandria via LeMat-Bulk | PBE-GGA | optimized geometry
# Fermi-level density of states   0.0274 states/eV per atom
# Energy above the lowest structure with this stoichiometry   0.000 eV/atom
data_PmH3
_cell_length_a 3.603
_cell_length_b 3.603
_cell_length_c 5.882
_cell_angle_alpha 90.00
_cell_angle_beta 90.00
_cell_angle_gamma 90.00
_space_group_name_H-M_alt 'I 4/m m m'
_space_group_IT_number 139
_space_group_name_Hall '-I 4 2'
loop_
_atom_site_label
_atom_site_fract_x
_atom_site_fract_y
_atom_site_fract_z
_atom_site_occupancy
Pm1 0.000 0.000 0.000 1
H1 0.000 0.000 0.500 1
H2 0.000 0.500 0.250 1

---

Record 6
# SrPmSb2 | Alexandria via LeMat-Bulk | PBE-GGA | optimized geometry
# Fermi-level density of states   0.5877 states/eV per atom
# Energy above the lowest structure with this stoichiometry   0.097 eV/atom
# Formation energy from raw total energies   -3.5 eV per formula unit
data_SrPmSb2
_cell_length_a 4.129
_cell_length_b 4.129
_cell_length_c 7.270
_cell_angle_alpha 90.00
_cell_angle_beta 90.00
_cell_angle_gamma 90.00
_space_group_name_H-M_alt 'P 4/m m m'
_space_group_IT_number 123
_space_group_name_Hall '-P 4 2'
loop_
_atom_site_label
_atom_site_fract_x
_atom_site_fract_y
_atom_site_fract_z
_atom_site_occupancy
Sr1 0.000 0.000 0.000 1
Pm1 0.000 0.000 0.500 1
Sb1 0.500 0.500 0.272 1

---

Record 7
# Zr6AgAu | Alexandria via LeMat-Bulk | PBE-GGA | optimized geometry
# Fermi-level density of states   1.3317 states/eV per atom
# Energy of formation from the pure elements   -0.1801 eV per atom
# Energy above the lowest structure with this stoichiometry   0.010 eV/atom
data_Zr6AgAu
_cell_length_a 7.8401
_cell_length_b 7.8401
_cell_length_c 9.6068
_cell_angle_alpha 90.00
_cell_angle_beta 90.00
_cell_angle_gamma 120.00
_space_group_name_H-M_alt 'R -3'
_space_group_IT_number 148
_space_group_name_Hall '-R 3'
loop_
_atom_site_label
_atom_site_fract_x
_atom_site_fract_y
_atom_site_fract_z
_atom_site_occupancy
Zr1 0.0009 0.2495 0.2506 1
Ag1 0.0000 0.0000 0.0000 1
Au1 0.0000 0.0000 0.5000 1

---

Record 8
# Li4Cd5Pd2 | Alexandria via LeMat-Bulk | PBE-GGA | optimized geometry
# Fermi-level density of states   0.4187 states/eV per atom
# Energy of formation from the pure elements   -0.2541 eV per atom
data_Li4Cd5Pd2
_cell_length_a 19.536
_cell_length_b 2.991
_cell_length_c 6.944
_cell_angle_alpha 90.00
_cell_angle_beta 97.04
_cell_angle_gamma 90.00
_space_group_name_H-M_alt 'C 1 2/m 1'
_space_group_IT_number 12
_space_group_name_Hall '-C 2y'
loop_
_atom_site_label
_atom_site_fract_x
_atom_site_fract_y
_atom_site_fract_z
_atom_site_occupancy
Li1 0.034 0.000 0.357 1
Li2 0.224 0.500 0.809 1
Cd1 0.000 0.500 0.000 1
Cd2 0.136 0.000 0.032 1
Cd3 0.176 0.000 0.465 1
Pd1 0.086 0.500 0.683 1

---

Record 9
# AgSe2S6 | Alexandria via LeMat-Bulk | PBE-GGA | optimized geometry
# Fermi-level density of states   0.5141 states/eV per atom
# Formation energy from raw total energies   2.2 eV per formula unit
data_AgSe2S6
_cell_length_a 5.374
_cell_length_b 6.089
_cell_length_c 7.377
_cell_angle_alpha 89.17
_cell_angle_beta 78.55
_cell_angle_gamma 82.64
_space_group_name_H-M_alt 'P -1'
_space_group_IT_number 2
_space_group_name_Hall '-P 1'
loop_
_atom_site_label
_atom_site_fract_x
_atom_site_fract_y
_atom_site_fract_z
_atom_site_occupancy
Ag1 0.000 0.000 0.000 1
Se1 0.235 0.304 0.316 1
S1 0.125 0.597 0.035 1
S2 0.304 0.027 0.527 1
S3 0.447 0.516 0.649 1

---

Record 10
# La3Mg2Pb4 | Alexandria via LeMat-Bulk | PBE-GGA | optimized geometry
# Fermi-level density of states   0.5202 states/eV per atom
# Energy of formation from the pure elements   -0.4634 eV per atom
data_La3Mg2Pb4
_cell_length_a 16.899
_cell_length_b 4.844
_cell_length_c 7.389
_cell_angle_alpha 90.00
_cell_angle_beta 110.49
_cell_angle_gamma 90.00
_space_group_name_H-M_alt 'C 1 2/m 1'
_space_group_IT_number 12
_space_group_name_Hall '-C 2y'
loop_
_atom_site_label
_atom_site_fract_x
_atom_site_fract_y
_atom_site_fract_z
_atom_site_occupancy
La1 0.000 0.000 0.000 1
La2 0.135 0.000 0.606 1
Mg1 0.170 0.500 0.992 1
Pb1 0.009 0.500 0.303 1
Pb2 0.213 0.000 0.239 1

---

Record 11
# Ca2MgCu3 | Alexandria via LeMat-Bulk | PBE-GGA | optimized geometry
# Fermi-level density of states   0.3790 states/eV per atom
# Energy of formation from the pure elements   -0.0312 eV per atom
# Energy above the lowest structure with this stoichiometry   0.050 eV/atom
data_Ca2MgCu3
_cell_length_a 4.1426
_cell_length_b 4.1426
_cell_length_c 19.9028
_cell_angle_alpha 90.00
_cell_angle_beta 90.00
_cell_angle_gamma 120.00
_space_group_name_H-M_alt 'P 63/m m c'
_space_group_IT_number 194
_space_group_name_Hall '-P 6c 2c'
loop_
_atom_site_label
_atom_site_fract_x
_atom_site_fract_y
_atom_site_fract_z
_atom_site_occupancy
Ca1 0.3333 0.6667 0.1189 1
Mg1 0.0000 0.0000 0.2500 1
Cu1 0.0000 0.0000 0.0000 1
Cu2 0.3333 0.6667 0.5236 1

---

Record 12
# Mg2CrGeN4 | Alexandria via LeMat-Bulk | PBE-GGA | optimized geometry
# Fermi-level density of states   0.0880 states/eV per atom
# Formation energy from raw total energies   -4.1 eV per formula unit
data_Mg2CrGeN4
_cell_length_a 6.454
_cell_length_b 5.771
_cell_length_c 5.188
_cell_angle_alpha 90.00
_cell_angle_beta 90.00
_cell_angle_gamma 90.00
_space_group_name_H-M_alt 'P m n 21'
_space_group_IT_number 31
_space_group_name_Hall 'P 2ac -2'
loop_
_atom_site_label
_atom_site_fract_x
_atom_site_fract_y
_atom_site_fract_z
_atom_site_occupancy
Mg1 0.250 0.172 0.000 1
Cr1 0.000 0.336 0.504 1
Ge1 0.000 0.657 0.007 1
N1 0.000 0.360 0.863 1
N2 0.000 0.634 0.371 1
N3 0.248 0.816 0.911 1

---

Record 13
# PmBePt3 | Alexandria via LeMat-Bulk | PBE-GGA | optimized geometry
# Fermi-level density of states   0.4353 states/eV per atom
# Energy of formation from the pure elements   -0.9206 eV per atom
# Energy above the lowest structure with this stoichiometry   0.000 eV/atom
data_PmBePt3
_cell_length_a 5.708
_cell_length_b 5.710
_cell_length_c 10.638
_cell_angle_alpha 90.00
_cell_angle_beta 90.00
_cell_angle_gamma 90.00
_space_group_name_H-M_alt 'F m m 2'
_space_group_IT_number 42
_space_group_name_Hall 'F 2 -2'
loop_
_atom_site_label
_atom_site_fract_x
_atom_site_fract_y
_atom_site_fract_z
_atom_site_occupancy
Pm1 0.000 0.000 0.000 1
Be1 0.000 0.000 0.373 1
Pt1 0.000 0.000 0.582 1
Pt2 0.250 0.250 0.265 1

---

Record 14
# Th6ReTe3Os2 | Alexandria via LeMat-Bulk | PBE-GGA | optimized geometry
# Fermi-level density of states   0.5521 states/eV per atom
# Formation energy from raw total energies   -8.6 eV per formula unit
data_Th6ReTe3Os2
_cell_length_a 19.529
_cell_length_b 4.206
_cell_length_c 9.076
_cell_angle_alpha 90.00
_cell_angle_beta 109.12
_cell_angle_gamma 90.00
_space_group_name_H-M_alt 'C 1 2/m 1'
_space_group_IT_number 12
_space_group_name_Hall '-C 2y'
loop_
_atom_site_label
_atom_site_fract_x
_atom_site_fract_y
_atom_site_fract_z
_atom_site_occupancy
Th1 0.011 0.000 0.222 1
Th2 0.155 0.500 0.110 1
Th3 0.178 0.500 0.554 1
Re1 0.000 0.500 0.000 1
Te1 0.000 0.500 0.500 1
Te2 0.167 0.000 0.833 1
Os1 0.168 0.000 0.335 1

---

Record 15
# La4Pb2C | Alexandria via LeMat-Bulk | PBE-GGA | optimized geometry
# Fermi-level density of states   0.7493 states/eV per atom
# Energy of formation from the pure elements   -0.4394 eV per atom
# Energy above the lowest structure with this stoichiometry   0.020 eV/atom
data_La4Pb2C
_cell_length_a 5.308
_cell_length_b 15.666
_cell_length_c 5.062
_cell_angle_alpha 90.00
_cell_angle_beta 90.00
_cell_angle_gamma 90.00
_space_group_name_H-M_alt 'C m m m'
_space_group_IT_number 65
_space_group_name_Hall '-C 2 2'
loop_
_atom_site_label
_atom_site_fract_x
_atom_site_fract_y
_atom_site_fract_z
_atom_site_occupancy
La1 0.000 0.000 0.000 1
La2 0.000 0.167 0.500 1
La3 0.000 0.500 0.500 1
Pb1 0.000 0.345 0.000 1
C1 0.000 0.000 0.500 1

---

Record 16
# ScBiPd5 | Alexandria via LeMat-Bulk | PBE-GGA | optimized geometry
# Fermi-level density of states   0.4145 states/eV per atom
# Energy of formation from the pure elements   -0.3812 eV per atom
data_ScBiPd5
_cell_length_a 9.118
_cell_length_b 5.449
_cell_length_c 10.311
_cell_angle_alpha 90.00
_cell_angle_beta 95.20
_cell_angle_gamma 90.00
_space_group_name_H-M_alt 'C 1 2/c 1'
_space_group_IT_number 15
_space_group_name_Hall '-C 2yc'
loop_
_atom_site_label
_atom_site_fract_x
_atom_site_fract_y
_atom_site_fract_z
_atom_site_occupancy
Sc1 0.000 0.139 0.250 1
Bi1 0.000 0.500 0.000 1
Pd1 0.000 0.339 0.750 1
Pd2 0.152 0.061 0.548 1
Pd3 0.239 0.387 0.184 1

---

Record 17
# LaEuSb2 | Alexandria via LeMat-Bulk | PBE-GGA | optimized geometry
# Fermi-level density of states   0.8391 states/eV per atom
# Energy above the lowest structure with this stoichiometry   0.124 eV/atom
# Formation energy from raw total energies   -3.8 eV per formula unit
data_LaEuSb2
_cell_length_a 7.912
_cell_length_b 7.912
_cell_length_c 7.912
_cell_angle_alpha 90.00
_cell_angle_beta 90.00
_cell_angle_gamma 90.00
_space_group_name_H-M_alt 'F m -3 m'
_space_group_IT_number 225
_space_group_name_Hall '-F 4 2 3'
loop_
_atom_site_label
_atom_site_fract_x
_atom_site_fract_y
_atom_site_fract_z
_atom_site_occupancy
La1 0.000 0.000 0.000 1
Eu1 0.000 0.000 0.500 1
Sb1 0.250 0.250 0.250 1

---

Record 18
# Sc2NiPdN | Alexandria via LeMat-Bulk | PBE-GGA | optimized geometry
# Fermi-level density of states   0.3531 states/eV per atom
# Formation energy from raw total energies   -4.9 eV per formula unit
data_Sc2NiPdN
_cell_length_a 4.434
_cell_length_b 4.434
_cell_length_c 3.710
_cell_angle_alpha 90.00
_cell_angle_beta 90.00
_cell_angle_gamma 90.00
_space_group_name_H-M_alt 'P 4/m m m'
_space_group_IT_number 123
_space_group_name_Hall '-P 4 2'
loop_
_atom_site_label
_atom_site_fract_x
_atom_site_fract_y
_atom_site_fract_z
_atom_site_occupancy
Sc1 0.000 0.500 0.000 1
Ni1 0.000 0.000 0.500 1
Pd1 0.500 0.500 0.500 1
N1 0.000 0.000 0.000 1

---

Record 19
# CuBr | Alexandria via LeMat-Bulk | PBE-GGA | optimized geometry
# Formation energy from raw total energies   -0.5 eV per formula unit
data_CuBr
_cell_length_a 5.712
_cell_length_b 5.712
_cell_length_c 5.712
_cell_angle_alpha 90.00
_cell_angle_beta 90.00
_cell_angle_gamma 90.00
_space_group_name_H-M_alt 'F -4 3 m'
_space_group_IT_number 216
_space_group_name_Hall 'F -4 2 3'
loop_
_atom_site_label
_atom_site_fract_x
_atom_site_fract_y
_atom_site_fract_z
_atom_site_occupancy
Cu1 0.000 0.000 0.000 1
Br1 0.250 0.250 0.250 1

---

Record 20
# Sr6Cd23Pd | Alexandria via LeMat-Bulk | PBE-GGA | optimized geometry
# Fermi-level density of states   0.5196 states/eV per atom
# Energy of formation from the pure elements   -0.2633 eV per atom
data_Sr6Cd23Pd
_cell_length_a 14.567
_cell_length_b 14.567
_cell_length_c 14.567
_cell_angle_alpha 90.00
_cell_angle_beta 90.00
_cell_angle_gamma 90.00
_space_group_name_H-M_alt 'F m -3 m'
_space_group_IT_number 225
_space_group_name_Hall '-F 4 2 3'
loop_
_atom_site_label
_atom_site_fract_x
_atom_site_fract_y
_atom_site_fract_z
_atom_site_occupancy
Sr1 0.000 0.000 0.209 1
Cd1 0.000 0.000 0.500 1
Cd2 0.000 0.250 0.250 1
Cd3 0.122 0.122 0.378 1
Cd4 0.170 0.170 0.170 1
Pd1 0.000 0.000 0.000 1

---

Number 1: total magnetization 0.0000 μB per atom. Number 2: total magnetization 0.0000 μB per atom. Number 3: total magnetization 0.0000 μB per atom. Number 4: total magnetization 0.0000 μB per atom. Number 5: total magnetization 0.0000 μB per atom. Number 6: total magnetization 0.0000 μB per atom. Number 7: total magnetization 0.0000 μB per atom. Number 8: total magnetization 0.0000 μB per atom. Number 9: total magnetization 0.0000 μB per atom. Number 10: total magnetization 0.0000 μB per atom. Number 11: total magnetization 0.0000 μB per atom. Number 12: total magnetization 0.2500 μB per atom. Number 13: total magnetization 0.0000 μB per atom. Number 14: total magnetization 0.0000 μB per atom. Number 15: total magnetization 0.0000 μB per atom. Number 16: total magnetization 0.0000 μB per atom. Number 17: total magnetization 1.7076 μB per atom. Number 18: total magnetization 0.0000 μB per atom. Number 19: total magnetization 0.0000 μB per atom. Number 20: total magnetization 0.0000 μB per atom.